First-principles (PBE) data for InBiPb2 after structural relaxation, as listed in Alexandria.

- total DFT energy (no corrections) (eV per atom) = -3.430
- formation energy (meV per atom) = 79
- excess energy over the best structure of this formula in the dataset (meV per atom) = 69
- calculated volume (A^3/atom) = 32.01
- M_tot (μB/cell) = 0.000
- density of states at the Fermi level (states/eV/f.u.) = 2.39

Cell and atoms, written as extended XYZ:
```
4
Lattice="-3.295 -6.121 -2.200 7.012 1.710 1.029 2.426 4.621 5.091" Properties=species:S:1:pos:R:3 pbc="T T T"
In 0.000 0.000 0.000
Bi 4.719 3.166 3.060
Pb 2.342 1.571 1.519
Pb 7.096 4.760 4.601
```